La4Tb4Sm5: optimized geometry, PBE-GGA.

The structure in POSCAR format:
```
La4Tb4Sm5
1.0
9.292 -2.582 0.000
9.292 2.582 0.000
-9.283 0.000 9.299
La Tb Sm
4 4 5
direct
0.078 0.078 0.195 La
0.383 0.383 0.960 La
0.617 0.617 0.040 La
0.922 0.922 0.805 La
0.153 0.153 0.883 Tb
0.230 0.230 0.577 Tb
0.770 0.770 0.423 Tb
0.847 0.847 0.117 Tb
0.000 0.000 0.500 Sm
0.311 0.311 0.270 Sm
0.459 0.459 0.649 Sm
0.541 0.541 0.351 Sm
0.689 0.689 0.730 Sm
```

Computed properties:
SG: C2/m

La2TbSm4: optimized geometry, PBE-GGA.

The structure in POSCAR format:
```
La2TbSm4
1.0
7.191 0.000 0.000
-1.786 8.592 0.000
-1.789 -4.196 7.836
La Tb Sm
4 2 8
direct
0.000 0.000 0.000 La
0.191 0.324 0.444 La
0.400 0.442 0.151 La
0.715 0.149 0.722 La
0.078 0.733 0.583 Tb
0.494 0.992 0.992 Tb
0.106 0.564 0.862 Sm
0.220 0.155 0.724 Sm
0.296 0.878 0.310 Sm
0.577 0.729 0.582 Sm
0.605 0.566 0.862 Sm
0.691 0.324 0.443 Sm
0.797 0.879 0.310 Sm
0.898 0.447 0.154 Sm
```

Computed properties:
SG: P1
Energy above the most stable polymorph in this dataset (meV/atom): 0.0

La2Tb9Sm: optimized geometry, PBE-GGA.

The structure in POSCAR format:
```
La2Tb9Sm
1.0
5.090 0.000 0.000
0.000 5.090 0.000
0.000 0.000 15.276
La Tb Sm
2 9 1
direct
0.000 0.000 0.166 La
0.000 0.000 0.834 La
0.000 0.500 0.000 Tb
0.000 0.500 0.336 Tb
0.000 0.500 0.664 Tb
0.500 0.000 0.000 Tb
0.500 0.000 0.336 Tb
0.500 0.000 0.664 Tb
0.500 0.500 0.168 Tb
0.500 0.500 0.500 Tb
0.500 0.500 0.832 Tb
0.000 0.000 0.500 Sm
```

Computed properties:
SG: P4/mmm
Energy above the most stable polymorph in this dataset (meV/atom): 0.0

La5Tb3Sm: optimized geometry, PBE-GGA.

The structure in POSCAR format:
```
La5Tb3Sm
1.0
10.211 -3.205 0.000
10.211 3.205 0.000
-6.115 0.000 9.953
La Tb Sm
10 6 2
direct
0.046 0.665 0.334 La
0.091 0.909 0.750 La
0.130 0.512 0.660 La
0.335 0.954 0.166 La
0.488 0.870 0.840 La
0.512 0.130 0.160 La
0.665 0.046 0.834 La
0.870 0.488 0.340 La
0.909 0.091 0.250 La
0.954 0.335 0.666 La
0.087 0.567 0.978 Tb
0.433 0.913 0.522 Tb
0.500 0.500 0.000 Tb
0.500 0.500 0.500 Tb
0.567 0.087 0.478 Tb
0.913 0.433 0.022 Tb
0.388 0.612 0.250 Sm
0.612 0.388 0.750 Sm
```

Computed properties:
SG: C2/c
Energy above the most stable polymorph in this dataset (meV/atom): 0.0

La4TbSm6: optimized geometry, PBE-GGA.

The structure in POSCAR format:
```
La4TbSm6
1.0
-3.450 3.450 8.362
3.450 -3.450 8.362
3.450 3.450 -8.362
La Tb Sm
4 1 6
direct
0.011 0.632 0.000 La
0.368 0.368 0.380 La
0.632 0.011 0.000 La
0.989 0.989 0.620 La
0.000 0.000 0.000 Tb
0.000 0.500 0.500 Sm
0.215 0.215 0.658 Sm
0.443 0.785 0.000 Sm
0.500 0.000 0.500 Sm
0.557 0.557 0.342 Sm
0.785 0.443 0.000 Sm
```

Computed properties:
SG: I-42m
Energy above the most stable polymorph in this dataset (meV/atom): 18.7

LaTbSm3: optimized geometry, PBE-GGA.

The structure in POSCAR format:
```
LaTbSm3
1.0
9.452 -1.821 0.000
9.452 1.821 0.000
-2.816 0.000 9.920
La Tb Sm
2 2 6
direct
0.100 0.100 0.051 La
0.900 0.900 0.949 La
0.299 0.299 0.646 Tb
0.701 0.701 0.354 Tb
0.101 0.101 0.549 Sm
0.299 0.299 0.153 Sm
0.500 0.500 0.254 Sm
0.500 0.500 0.746 Sm
0.701 0.701 0.847 Sm
0.899 0.899 0.451 Sm
```

Computed properties:
SG: C2/m

La7Tb4Sm: optimized geometry, PBE-GGA.

The structure in POSCAR format:
```
La7Tb4Sm
1.0
6.443 0.000 0.000
-0.003 7.378 0.000
-2.127 -0.005 8.879
La Tb Sm
7 4 1
direct
0.000 0.000 0.000 La
0.221 0.500 0.667 La
0.281 0.750 0.336 La
0.498 0.753 0.997 La
0.502 0.247 0.003 La
0.719 0.250 0.664 La
0.779 0.500 0.333 La
0.219 0.000 0.665 Tb
0.277 0.245 0.331 Tb
0.723 0.755 0.669 Tb
0.781 0.000 0.335 Tb
0.000 0.500 0.000 Sm
```

Computed properties:
SG: P-1

LaTbSm2: optimized geometry, PBE-GGA.

The structure in POSCAR format:
```
LaTbSm2
1.0
3.647 0.000 0.000
0.000 3.647 0.000
0.000 0.000 10.301
La Tb Sm
1 1 2
direct
0.000 0.000 0.000 La
0.000 0.000 0.500 Tb
0.500 0.500 0.256 Sm
0.500 0.500 0.744 Sm
```

Computed properties:
SG: P4/mmm
Energy above the most stable polymorph in this dataset (meV/atom): 3.1

LaTb2Sm6: optimized geometry, PBE-GGA.

The structure in POSCAR format:
```
LaTb2Sm6
1.0
7.536 0.000 0.000
-3.768 6.527 0.000
0.000 0.000 6.187
La Tb Sm
1 2 6
direct
0.000 0.000 0.000 La
0.333 0.667 0.782 Tb
0.667 0.333 0.218 Tb
0.186 0.373 0.292 Sm
0.186 0.814 0.292 Sm
0.373 0.186 0.708 Sm
0.627 0.814 0.292 Sm
0.814 0.186 0.708 Sm
0.814 0.627 0.708 Sm
```

Computed properties:
SG: P-3m1
Energy above the most stable polymorph in this dataset (meV/atom): 7.6

LaTb6Sm3: optimized geometry, PBE-GGA.

The structure in POSCAR format:
```
LaTb6Sm3
1.0
4.792 -7.723 0.000
4.792 7.723 0.000
0.000 0.000 9.048
La Tb Sm
2 12 6
direct
0.225 0.775 0.500 La
0.775 0.225 0.000 La
0.030 0.317 0.417 Tb
0.175 0.473 0.755 Tb
0.284 0.716 0.136 Tb
0.317 0.030 0.917 Tb
0.451 0.549 0.401 Tb
0.473 0.175 0.255 Tb
0.527 0.825 0.755 Tb
0.549 0.451 0.901 Tb
0.683 0.970 0.417 Tb
0.716 0.284 0.636 Tb
0.825 0.527 0.255 Tb
0.970 0.683 0.917 Tb
0.052 0.948 0.269 Sm
0.188 0.313 0.088 Sm
0.313 0.188 0.588 Sm
0.687 0.812 0.088 Sm
0.812 0.687 0.588 Sm
0.948 0.052 0.769 Sm
```

Computed properties:
SG: Cmc2_1
Energy above the most stable polymorph in this dataset (meV/atom): 0.0

La8Tb4Sm: optimized geometry, PBE-GGA.

The structure in POSCAR format:
```
La8Tb4Sm
1.0
5.700 3.291 4.522
-5.700 3.291 4.522
0.000 -6.582 4.522
La Tb Sm
8 4 1
direct
0.234 0.234 0.754 La
0.234 0.754 0.234 La
0.236 0.236 0.236 La
0.246 0.766 0.766 La
0.754 0.234 0.234 La
0.764 0.764 0.764 La
0.766 0.246 0.766 La
0.766 0.766 0.246 La
0.000 0.000 0.000 Tb
0.000 0.500 0.500 Tb
0.500 0.000 0.500 Tb
0.500 0.500 0.000 Tb
0.500 0.500 0.500 Sm
```

Computed properties:
SG: R-3m

La7Tb12Sm: optimized geometry, PBE-GGA.

The structure in POSCAR format:
```
La7Tb12Sm
1.0
-5.706 5.706 5.706
5.706 -5.706 5.706
5.706 5.706 -5.706
La Tb Sm
7 12 1
direct
0.000 0.000 0.500 La
0.000 0.500 0.000 La
0.000 0.500 0.500 La
0.500 0.000 0.000 La
0.500 0.000 0.500 La
0.500 0.500 0.000 La
0.500 0.500 0.500 La
0.001 0.753 0.248 Tb
0.247 0.248 0.495 Tb
0.247 0.752 0.999 Tb
0.248 0.001 0.753 Tb
0.248 0.495 0.247 Tb
0.495 0.247 0.248 Tb
0.505 0.753 0.752 Tb
0.752 0.505 0.753 Tb
0.752 0.999 0.247 Tb
0.753 0.248 0.001 Tb
0.753 0.752 0.505 Tb
0.999 0.247 0.752 Tb
0.000 0.000 0.000 Sm
```

Computed properties:
SG: Im-3
Energy above the most stable polymorph in this dataset (meV/atom): 375.3

La7TbSm4: optimized geometry, PBE-GGA.

The structure in POSCAR format:
```
La7TbSm4
1.0
8.301 -3.070 0.000
8.301 3.070 0.000
-4.239 0.000 8.524
La Tb Sm
7 1 4
direct
0.000 0.000 0.000 La
0.293 0.293 0.781 La
0.294 0.294 0.125 La
0.418 0.418 0.565 La
0.582 0.582 0.435 La
0.706 0.706 0.875 La
0.707 0.707 0.219 La
0.500 0.500 0.000 Tb
0.073 0.073 0.699 Sm
0.172 0.172 0.394 Sm
0.828 0.828 0.606 Sm
0.927 0.927 0.301 Sm
```

Computed properties:
SG: C2/m
Energy above the most stable polymorph in this dataset (meV/atom): 183.6

La8Tb2Sm3: optimized geometry, PBE-GGA.

The structure in POSCAR format:
```
La8Tb2Sm3
1.0
7.318 -5.667 0.000
7.318 5.667 0.000
-1.969 0.000 5.573
La Tb Sm
8 2 3
direct
0.078 0.078 0.232 La
0.100 0.562 0.831 La
0.341 0.341 0.381 La
0.438 0.900 0.169 La
0.562 0.100 0.831 La
0.659 0.659 0.619 La
0.900 0.438 0.169 La
0.922 0.922 0.768 La
0.175 0.175 0.807 Tb
0.825 0.825 0.193 Tb
0.244 0.756 0.500 Sm
0.500 0.500 0.000 Sm
0.756 0.244 0.500 Sm
```

Computed properties:
SG: C2/m
Energy above the most stable polymorph in this dataset (meV/atom): 126.1

La2Tb7Sm: optimized geometry, PBE-GGA.

The structure in POSCAR format:
```
La2Tb7Sm
1.0
3.313 -14.580 0.000
3.313 14.580 0.000
0.000 0.000 3.515
La Tb Sm
2 7 1
direct
0.205 0.795 0.000 La
0.795 0.205 0.000 La
0.000 0.000 0.000 Tb
0.156 0.352 0.000 Tb
0.315 0.685 0.500 Tb
0.352 0.156 0.000 Tb
0.648 0.844 0.000 Tb
0.685 0.315 0.500 Tb
0.844 0.648 0.000 Tb
0.500 0.500 0.500 Sm
```

Computed properties:
SG: Cmmm
Energy above the most stable polymorph in this dataset (meV/atom): 136.6

La4Tb4Sm3: optimized geometry, PBE-GGA.

The structure in POSCAR format:
```
La4Tb4Sm3
1.0
10.854 0.000 0.000
0.000 2.903 6.056
0.000 -2.903 6.056
La Tb Sm
4 4 3
direct
0.000 0.000 0.000 La
0.206 0.803 0.803 La
0.500 0.921 0.921 La
0.794 0.803 0.803 La
0.000 0.594 0.594 Tb
0.306 0.148 0.148 Tb
0.500 0.647 0.647 Tb
0.694 0.148 0.148 Tb
0.000 0.294 0.294 Sm
0.290 0.454 0.454 Sm
0.710 0.454 0.454 Sm
```

Computed properties:
SG: Amm2
Energy above the most stable polymorph in this dataset (meV/atom): 22.2

La2Tb12Sm5: optimized geometry, PBE-GGA.

The structure in POSCAR format:
```
La2Tb12Sm5
1.0
7.900 -4.675 0.000
7.900 4.675 0.000
-0.241 0.000 8.682
La Tb Sm
2 12 5
direct
0.180 0.820 0.000 La
0.820 0.180 0.000 La
0.060 0.060 0.333 Tb
0.063 0.684 0.343 Tb
0.169 0.526 0.758 Tb
0.316 0.937 0.657 Tb
0.415 0.415 0.121 Tb
0.474 0.831 0.242 Tb
0.526 0.169 0.758 Tb
0.585 0.585 0.879 Tb
0.684 0.063 0.343 Tb
0.831 0.474 0.242 Tb
0.937 0.316 0.657 Tb
0.940 0.940 0.667 Tb
0.202 0.202 0.015 Sm
0.270 0.270 0.427 Sm
0.500 0.500 0.500 Sm
0.730 0.730 0.573 Sm
0.798 0.798 0.985 Sm
```

Computed properties:
SG: C2/m
Energy above the most stable polymorph in this dataset (meV/atom): 37.6

La4Tb5Sm2: optimized geometry, PBE-GGA.

The structure in POSCAR format:
```
La4Tb5Sm2
1.0
-1.771 4.690 11.538
1.771 -4.690 11.538
1.771 4.690 -11.538
La Tb Sm
4 5 2
direct
0.094 0.094 0.000 La
0.211 0.500 0.711 La
0.789 0.500 0.289 La
0.906 0.906 0.000 La
0.158 0.353 0.805 Tb
0.452 0.647 0.805 Tb
0.500 0.000 0.500 Tb
0.548 0.353 0.195 Tb
0.842 0.647 0.195 Tb
0.229 0.229 0.000 Sm
0.771 0.771 0.000 Sm
```

Computed properties:
SG: Immm
Energy above the most stable polymorph in this dataset (meV/atom): 179.6

LaTbSm3: optimized geometry, PBE-GGA.

The structure in POSCAR format:
```
LaTbSm3
1.0
6.293 0.000 0.000
-1.054 6.228 0.000
-3.144 -2.639 8.712
La Tb Sm
2 2 6
direct
0.201 0.251 0.152 La
0.799 0.749 0.848 La
0.198 0.748 0.648 Tb
0.802 0.252 0.352 Tb
0.002 0.249 0.747 Sm
0.399 0.248 0.550 Sm
0.402 0.752 0.051 Sm
0.598 0.248 0.949 Sm
0.601 0.752 0.450 Sm
0.998 0.751 0.253 Sm
```

Computed properties:
SG: P-1

LaTb8Sm4: optimized geometry, PBE-GGA.

The structure in POSCAR format:
```
LaTb8Sm4
1.0
5.543 3.200 4.534
-5.543 3.200 4.534
0.000 -6.400 4.534
La Tb Sm
1 8 4
direct
0.000 0.000 0.000 La
0.261 0.261 0.261 Tb
0.261 0.261 0.738 Tb
0.261 0.738 0.261 Tb
0.262 0.739 0.739 Tb
0.738 0.261 0.261 Tb
0.739 0.262 0.739 Tb
0.739 0.739 0.262 Tb
0.739 0.739 0.739 Tb
0.000 0.000 0.500 Sm
0.000 0.500 0.000 Sm
0.500 0.000 0.000 Sm
0.500 0.500 0.500 Sm
```

Computed properties:
SG: R-3m

Number 1: V 446.2 Å³/cell, energy of formation 23 meV/atom. Number 2: V 484.2 Å³/cell, energy of formation 43 meV/atom. Number 3: V 395.8 Å³/cell, energy of formation 24 meV/atom. Number 4: V 651.5 Å³/cell, energy of formation 245 meV/atom. Number 5: V 398.2 Å³/cell, energy of formation 275 meV/atom. Number 6: V 341.5 Å³/cell, energy of formation 21 meV/atom. Number 7: V 422.1 Å³/cell, energy of formation 16 meV/atom. Number 8: V 137.0 Å³/cell, energy of formation 22 meV/atom. Number 9: V 304.3 Å³/cell, energy of formation 195 meV/atom. Number 10: V 669.7 Å³/cell, energy of formation 128 meV/atom. Number 11: V 508.9 Å³/cell, energy of formation 425 meV/atom. Number 12: V 743.2 Å³/cell, energy of formation 593 meV/atom. Number 13: V 434.5 Å³/cell, energy of formation 199 meV/atom. Number 14: V 462.2 Å³/cell, energy of formation 147 meV/atom. Number 15: V 339.5 Å³/cell, energy of formation 159 meV/atom. Number 16: V 381.6 Å³/cell, energy of formation 145 meV/atom. Number 17: V 641.3 Å³/cell, energy of formation 135 meV/atom. Number 18: V 383.4 Å³/cell, energy of formation 261 meV/atom. Number 19: V 341.4 Å³/cell, energy of formation 22 meV/atom. Number 20: V 482.5 Å³/cell, energy of formation 508 meV/atom.